Below is an optimized crystal structure of AcCu2Br6, with properties calculated at the PBE level.

Cell lengths 7.449, 9.130, 9.130 Å; angles 75.38, 73.14, 73.14 degrees
Sites, in units of the cell vectors:
Ac1 0.250 0.171 0.829
Ac2 0.750 0.829 0.171
Cu1 0.282 0.630 0.755
Cu2 0.218 0.245 0.370
Cu3 0.718 0.370 0.245
Cu4 0.782 0.755 0.630
Br1 0.502 0.764 0.538
Br2 0.998 0.462 0.236
Br3 0.498 0.236 0.462
Br4 0.002 0.538 0.764
Br5 0.993 0.829 0.387
Br6 0.507 0.613 0.171
Br7 0.007 0.171 0.613
Br8 0.493 0.387 0.829
Br9 0.154 0.826 0.929
Br10 0.346 0.071 0.174
Br11 0.846 0.174 0.071
Br12 0.654 0.929 0.826

Output
* energy: -3.502 eV per atom
* energy relative to the elements, uncorrected: -1020 meV per atom
* space group: C2/c (15)
* DOS at the Fermi energy: 6.4 states/eV/f.u.

***

Below is an optimized crystal structure of Ac8CuGe3Br4, with properties calculated at the PBE level.

Cell lengths 9.216, 9.168, 9.216 Å; angles 120.19, 120.00, 90.00 degrees
Sites, in units of the cell vectors:
Ac1 0.238 0.720 0.982
Ac2 0.238 0.720 0.477
Ac3 0.259 0.277 0.518
Ac4 0.744 0.720 0.982
Ac5 0.256 0.280 0.018
Ac6 0.741 0.723 0.482
Ac7 0.762 0.280 0.523
Ac8 0.762 0.280 0.018
Cu1 0.000 0.500 0.000
Ge1 0.500 0.500 0.000
Ge2 0.500 0.500 0.500
Ge3 0.000 0.500 0.500
Br1 0.500 0.000 0.000
Br2 0.500 0.000 0.500
Br3 0.000 0.000 0.000
Br4 0.000 0.000 0.500

Output
* energy: -4.599 eV per atom
* energy relative to the elements, uncorrected: -1005 meV per atom
* space group: R-3m (166)
* DOS at the Fermi energy: 10.4 states/eV/f.u.

***

Below is an optimized crystal structure of AcCuGeBr, with properties calculated at the PBE level.

Cell lengths 4.309, 4.309, 14.658 Å; angles 81.55, 81.55, 60.00 degrees
Sites, in units of the cell vectors:
Ac1 0.078 0.078 0.765
Ac2 0.922 0.922 0.235
Cu1 0.688 0.688 0.935
Cu2 0.312 0.312 0.065
Ge1 0.633 0.633 0.101
Ge2 0.367 0.367 0.899
Br1 0.791 0.791 0.627
Br2 0.209 0.209 0.373

Output
* energy: -4.469 eV per atom
* energy relative to the elements, uncorrected: -845 meV per atom
* space group: R-3m (166)
* DOS at the Fermi energy: 2.7 states/eV/f.u.

***

Below is an optimized crystal structure of Ac6CuIr2Br3, with properties calculated at the PBE level.

Cell lengths 7.625, 7.625, 8.640 Å; angles 98.45, 98.45, 120.00 degrees
Sites, in units of the cell vectors:
Ac1 0.935 0.590 0.805
Ac2 0.720 0.720 0.195
Ac3 0.065 0.410 0.195
Ac4 0.590 0.935 0.805
Ac5 0.280 0.280 0.805
Ac6 0.410 0.065 0.195
Cu1 0.000 0.000 0.000
Ir1 0.333 0.667 0.000
Ir2 0.667 0.333 0.000
Br1 0.167 0.833 0.500
Br2 0.833 0.167 0.500
Br3 0.500 0.500 0.500

Output
* energy: -5.333 eV per atom
* energy relative to the elements, uncorrected: -1042 meV per atom
* space group: C2/m (12)
* DOS at the Fermi energy: 7.7 states/eV/f.u.

***

Below is an optimized crystal structure of K2AcCuBr6, with properties calculated at the PBE level.

Cell lengths 8.187, 8.920, 10.151 Å; angles 90.00, 88.57, 90.00 degrees
Sites, in units of the cell vectors:
K1 0.014 0.914 0.253
K2 0.514 0.586 0.753
K3 0.986 0.086 0.747
K4 0.486 0.414 0.247
Ac1 0.500 0.000 0.000
Ac2 0.000 0.500 0.500
Cu1 0.500 0.000 0.500
Cu2 0.000 0.500 0.000
Br1 0.334 0.703 0.049
Br2 0.834 0.797 0.549
Br3 0.666 0.297 0.951
Br4 0.166 0.203 0.451
Br5 0.313 0.665 0.443
Br6 0.813 0.835 0.943
Br7 0.687 0.335 0.557
Br8 0.187 0.165 0.057
Br9 0.894 0.541 0.211
Br10 0.394 0.959 0.711
Br11 0.106 0.459 0.789
Br12 0.606 0.041 0.289

Output
* energy: -3.560 eV per atom
* energy relative to the elements, uncorrected: -1516 meV per atom
* space group: P2_1/c (14)
* DOS at the Fermi energy: 0.0 states/eV/f.u.

***

Below is an optimized crystal structure of Ac4CuNiBr2, with properties calculated at the PBE level.

Cell lengths 4.443, 7.547, 8.471 Å; angles 107.50, 90.00, 90.00 degrees
Sites, in units of the cell vectors:
Ac1 0.500 0.245 0.199
Ac2 0.500 0.755 0.801
Ac3 0.000 0.273 0.802
Ac4 0.000 0.727 0.198
Cu1 0.000 0.000 0.000
Ni1 0.500 0.500 0.000
Br1 0.500 0.000 0.500
Br2 0.000 0.500 0.500

Output
* energy: -4.459 eV per atom
* energy relative to the elements, uncorrected: -752 meV per atom
* space group: P2/m (10)
* DOS at the Fermi energy: 6.7 states/eV/f.u.

***

Below is an optimized crystal structure of AcCuBrO2, with properties calculated at the PBE level.

Cell lengths 5.629, 5.631, 7.232 Å; angles 112.91, 90.00, 90.00 degrees
Sites, in units of the cell vectors:
Ac1 0.250 0.606 0.212
Ac2 0.750 0.394 0.788
Cu1 0.250 0.987 0.973
Cu2 0.750 0.013 0.027
Br1 0.750 0.748 0.497
Br2 0.250 0.252 0.503
O1 0.500 0.242 0.000
O2 0.000 0.758 0.000
O3 0.500 0.758 0.000
O4 0.000 0.242 0.000

Output
* energy: -5.917 eV per atom
* energy relative to the elements, uncorrected: -1958 meV per atom
* space group: Cmcm (63)
* DOS at the Fermi energy: 0.1 states/eV/f.u.

***

Below is an optimized crystal structure of Ac4CuOsBr2, with properties calculated at the PBE level.

Cell lengths 4.411, 7.557, 8.648 Å; angles 107.08, 90.00, 90.00 degrees
Sites, in units of the cell vectors:
Ac1 0.500 0.245 0.196
Ac2 0.500 0.755 0.804
Ac3 0.000 0.278 0.804
Ac4 0.000 0.722 0.196
Cu1 0.000 0.000 0.000
Os1 0.500 0.500 0.000
Br1 0.500 0.000 0.500
Br2 0.000 0.500 0.500

Output
* energy: -5.154 eV per atom
* energy relative to the elements, uncorrected: -766 meV per atom
* space group: P2/m (10)
* DOS at the Fermi energy: 4.1 states/eV/f.u.

***

Below is an optimized crystal structure of Ac8CuOs3Br4, with properties calculated at the PBE level.

Cell lengths 8.723, 9.676, 8.723 Å; angles 116.82, 120.00, 90.00 degrees
Sites, in units of the cell vectors:
Ac1 0.238 0.695 0.956
Ac2 0.238 0.695 0.477
Ac3 0.268 0.303 0.535
Ac4 0.718 0.695 0.956
Ac5 0.282 0.305 0.044
Ac6 0.732 0.697 0.465
Ac7 0.762 0.305 0.523
Ac8 0.762 0.305 0.044
Cu1 0.000 0.500 0.000
Os1 0.500 0.500 0.000
Os2 0.500 0.500 0.500
Os3 0.000 0.500 0.500
Br1 0.500 0.000 0.000
Br2 0.500 0.000 0.500
Br3 0.000 0.000 0.000
Br4 0.000 0.000 0.500

Output
* energy: -5.594 eV per atom
* energy relative to the elements, uncorrected: -760 meV per atom
* space group: R-3m (166)
* DOS at the Fermi energy: 5.2 states/eV/f.u.

***

Below is an optimized crystal structure of Ac6CuOs2Br3, with properties calculated at the PBE level.

Cell lengths 7.573, 7.573, 8.658 Å; angles 98.36, 98.36, 120.01 degrees
Sites, in units of the cell vectors:
Ac1 0.935 0.585 0.804
Ac2 0.715 0.715 0.196
Ac3 0.065 0.415 0.196
Ac4 0.585 0.935 0.804
Ac5 0.285 0.285 0.804
Ac6 0.415 0.065 0.196
Cu1 0.000 0.000 0.000
Os1 0.334 0.666 0.000
Os2 0.666 0.334 0.000
Br1 0.169 0.831 0.500
Br2 0.831 0.169 0.500
Br3 0.500 0.500 0.500

Output
* energy: -5.472 eV per atom
* energy relative to the elements, uncorrected: -786 meV per atom
* space group: C2/m (12)
* DOS at the Fermi energy: 2.9 states/eV/f.u.

***

Below is an optimized crystal structure of AcCuPBr, with properties calculated at the PBE level.

Cell lengths 4.257, 4.257, 14.385 Å; angles 81.49, 81.49, 60.00 degrees
Sites, in units of the cell vectors:
Ac1 0.075 0.075 0.776
Ac2 0.925 0.925 0.224
Cu1 0.688 0.688 0.937
Cu2 0.312 0.312 0.063
P1 0.632 0.632 0.105
P2 0.368 0.368 0.895
Br1 0.789 0.789 0.632
Br2 0.211 0.211 0.368

Output
* energy: -4.975 eV per atom
* energy relative to the elements, uncorrected: -1153 meV per atom
* space group: R-3m (166)

***

Below is an optimized crystal structure of Ac4CuPBr2, with properties calculated at the PBE level.

Cell lengths 4.345, 7.855, 8.153 Å; angles 107.75, 90.00, 90.00 degrees
Sites, in units of the cell vectors:
Ac1 0.500 0.232 0.208
Ac2 0.500 0.768 0.792
Ac3 0.000 0.268 0.787
Ac4 0.000 0.732 0.213
Cu1 0.000 0.000 0.000
P1 0.500 0.500 0.000
Br1 0.500 0.000 0.500
Br2 0.000 0.500 0.500

Output
* energy: -4.710 eV per atom
* energy relative to the elements, uncorrected: -1049 meV per atom
* space group: P2/m (10)
* DOS at the Fermi energy: 5.7 states/eV/f.u.

***

Please write out number 8 again, unchanged.
Below is an optimized crystal structure of Ac4CuOsBr2, with properties calculated at the PBE level.

Cell lengths 4.411, 7.557, 8.648 Å; angles 107.08, 90.00, 90.00 degrees
Sites, in units of the cell vectors:
Ac1 0.500 0.245 0.196
Ac2 0.500 0.755 0.804
Ac3 0.000 0.278 0.804
Ac4 0.000 0.722 0.196
Cu1 0.000 0.000 0.000
Os1 0.500 0.500 0.000
Br1 0.500 0.000 0.500
Br2 0.000 0.500 0.500

Output
* energy: -5.154 eV per atom
* energy relative to the elements, uncorrected: -766 meV per atom
* space group: P2/m (10)
* DOS at the Fermi energy: 4.1 states/eV/f.u.